A plane-wave DFT calculation with GGA-PBE was carried out for crystalline LiPaPd5 at its relaxed geometry.

Relative energy among the computed polymorphs ... 0.000 eV per formula unit

Cell lengths 5.6910, 7.7789, 5.6462 Å; angles 90.00, 90.00, 90.00 degrees
Closest atoms and distances in Å follow each position.
Space group Cmmm (No. 65)
Inequivalent atoms, fractional coordinates:
Li: 0.0000 0.0000 0.0000 x2  10 Pd 2.76-2.82
Pa: 0.0000 0.5000 0.5000 x2  10 Pd 2.83-2.85
Pd: 0.0000 0.0000 0.5000 x2  2 Li 2.82, 8 Pd 2.83, 2 Pa 2.85
Pd: 0.2500 0.2500 0.2380 x8  6 Pd 2.69-2.96, 2 Li 2.76, 2 Pa 2.83

=====

A plane-wave DFT calculation with GGA-PBE was carried out for crystalline LiPaPd6 at its relaxed geometry.

Relative energy among the computed polymorphs ... 0.000 eV per formula unit

Cell lengths 5.6943, 5.6943, 4.0395 Å; angles 90.00, 90.00, 90.00 degrees
Closest atoms and distances in Å follow each position.
Space group P4/mmm (No. 123)
Inequivalent atoms, fractional coordinates:
Li: 0.0000 0.0000 0.0000 x1  12 Pd 2.84-2.85
Pa: 0.5000 0.5000 0.0000 x1  12 Pd 2.85-2.87
Pd: 0.0000 0.5000 0.0000 x2  2 Li 2.85, 2 Pa 2.85, 8 Pd 2.85
Pd: 0.2475 0.2475 0.5000 x4  8 Pd 2.82-2.88, 2 Li 2.84, 2 Pa 2.87

=====

A plane-wave DFT calculation with GGA-PBE was carried out for crystalline LiPaPd4 at its relaxed geometry.

Relative energy among the computed polymorphs ... 0.000 eV per formula unit

Cell lengths 5.1356, 5.6101, 7.1139 Å; angles 90.17, 92.79, 90.11 degrees
Closest atoms and distances in Å follow each position.
Space group P-1 (No. 2)
Inequivalent atoms, fractional coordinates:
Li: 0.0721 0.2498 0.4692 x2  7 Pd 2.56-2.72
Pa: 0.2489 0.7507 0.1282 x2  5 Pd 2.62-2.85
Pd: 0.2367 0.5008 0.7789 x2  2 Li 2.71, 7 Pd 2.79-2.99, 2 Pa 2.85-2.97
Pd: 0.2374 0.9987 0.7789 x2  2 Li 2.70-2.72, 7 Pd 2.78-3.00, 2 Pa 2.85-2.97
Pd: 0.2563 0.2507 0.1313 x2  1 Li 2.63, 2 Pa 2.81, 2 Pd 2.87
Pd: 0.4322 0.7494 0.4778 x2  2 Li 2.56-2.64, 1 Pa 2.62, 2 Pd 2.78-2.79

=====

A plane-wave DFT calculation with GGA-PBE was carried out for crystalline LiPaPdPt at its relaxed geometry.

Cell lengths 6.7019, 6.7019, 6.7019 Å; angles 90.00, 90.00, 90.00 degrees
Closest atoms and distances in Å follow each position.
Space group F-43m (No. 216)
Inequivalent atoms, fractional coordinates:
Li: 0.0000 0.0000 0.0000 x4  4 Pt 2.90, 4 Pd 2.90
Pa: 0.0000 0.0000 0.5000 x4  4 Pd 2.90, 4 Pt 2.90
Pd: 0.2500 0.2500 0.7500 x4  4 Li 2.90, 4 Pa 2.90
Pt: 0.2500 0.2500 0.2500 x4  4 Pa 2.90, 4 Li 2.90

=====

Number 1: formation energy -0.485 eV per atom, electronic total energy -81.5 eV/cell, M_tot 0.00 Bohr magnetons per cell. Number 2: formation energy -0.652 eV per atom, electronic total energy -47.8 eV/cell, M_tot 0.00 Bohr magnetons per cell. Number 3: formation energy -0.606 eV per atom, electronic total energy -71.6 eV/cell, M_tot 0.00 Bohr magnetons per cell. Number 4: formation energy -0.623 eV per atom, electronic total energy -100.5 eV/cell, M_tot 0.01 Bohr magnetons per cell.